(1)
## TmZn2Ga (PBE)

Data for a geometry-optimized TmZn2Ga structure.

abc: 3.636 4.355 9.601
angles: 90.00 100.91 90.00
Space group P2_1/m (No. 11)
Symmetry-distinct sites (fractional):
Tm 0.102 0.250 0.205 (multiplicity 2)
Zn 0.260 0.750 0.520 (multiplicity 2)
Zn 0.469 0.250 0.941 (multiplicity 2)
Ga 0.338 0.250 0.676 (multiplicity 2)

Calculated formation energy = -384 meV/atom
Total moment = 0.000 μB/atom



(2)
## Tm3Zn2Ga4 (PBE)

Data for a geometry-optimized Tm3Zn2Ga4 structure.

abc: 10.433 4.359 8.346
angles: 90.00 111.05 90.00
Space group C2/m (No. 12)
Symmetry-distinct sites (fractional):
Tm 0.000 0.000 0.000 (multiplicity 2)
Tm 0.169 0.500 0.667 (multiplicity 4)
Zn 0.104 0.500 0.273 (multiplicity 4)
Ga 0.065 0.000 0.399 (multiplicity 4)
Ga 0.206 0.500 0.041 (multiplicity 4)

Calculated formation energy = -567 meV/atom
Total moment = 0.000 μB/atom



(3)
## TmZn6Ga2 (PBE)

Data for a geometry-optimized TmZn6Ga2 structure.

abc: 4.065 4.065 9.094
angles: 90.00 90.00 90.00
Space group P4/mmm (No. 123)
Symmetry-distinct sites (fractional):
Tm 0.000 0.000 0.000 (multiplicity 1)
Zn 0.000 0.000 0.500 (multiplicity 1)
Zn 0.000 0.500 0.300 (multiplicity 4)
Zn 0.500 0.500 0.500 (multiplicity 1)
Ga 0.500 0.500 0.133 (multiplicity 2)

Calculated formation energy = -183 meV/atom
Total moment = 0.000 μB/atom



(4)
## Tm2ZnGa (PBE)

Data for a geometry-optimized Tm2ZnGa structure.

abc: 7.039 7.039 7.039
angles: 90.00 90.00 90.00
Space group Fm-3m (No. 225)
Symmetry-distinct sites (fractional):
Tm 0.250 0.250 0.250 (multiplicity 8)
Zn 0.000 0.000 0.000 (multiplicity 4)
Ga 0.000 0.000 0.500 (multiplicity 4)

Calculated formation energy = -475 meV/atom
Total moment = 0.000 μB/atom



Question: The lowest calculated formation energy belongs to which entry?
Answer: Tm3Zn2Ga4